Entry 1:
Here is a relaxed structure of Sc2ZnHIr from Alexandria. Energies are from PBE.

a b c (Å): 4.492 4.492 3.670
angles (deg): 90.00 90.00 90.00
Space group P4/mmm (No. 123)
Inequivalent atoms, fractional coordinates:
1 Sc 0.000 0.500 0.000
2 Zn 0.000 0.000 0.500
3 H 0.500 0.500 0.000
4 Ir 0.500 0.500 0.500

Fermi-level density of states: 0.70 states/eV/atom
E_tot: -29.1 eV for the cell shown


Entry 2:
Here is a relaxed structure of HIrSe from Alexandria. Energies are from PBE.

a b c (Å): 6.783 3.566 7.371
angles (deg): 90.00 105.57 90.00
Space group C2/m (No. 12)
Inequivalent atoms, fractional coordinates:
1 H 0.201 0.000 0.422
2 Ir 0.108 0.500 0.364
3 Se 0.123 0.000 0.808

Fermi-level density of states: 0.36 states/eV/atom
E_tot: -62.9 eV for the cell shown


Entry 3:
Here is a relaxed structure of HIrSe from Alexandria. Energies are from PBE.

a b c (Å): 5.276 6.536 4.899
angles (deg): 90.00 90.00 90.00
Space group C222_1 (No. 20)
Inequivalent atoms, fractional coordinates:
1 H 0.000 0.136 0.250
2 Ir 0.166 0.000 0.500
3 Se 0.000 0.307 0.750

Fermi-level density of states: 0.22 states/eV/atom
E_tot: -62.9 eV for the cell shown


Entry 4:
Here is a relaxed structure of H2IrSe from Alexandria. Energies are from PBE.

a b c (Å): 5.654 5.654 5.588
angles (deg): 90.00 90.00 90.00
Space group I-42d (No. 122)
Inequivalent atoms, fractional coordinates:
1 H 0.119 0.250 0.125
2 Ir 0.000 0.000 0.000
3 Se 0.000 0.000 0.500

Fermi-level density of states: 0.49 states/eV/atom
E_tot: -68.5 eV for the cell shown


Entry 5:
Here is a relaxed structure of H2IrSe2 from Alexandria. Energies are from PBE.

a b c (Å): 4.1419 4.1419 15.6235
angles (deg): 90.00 90.00 120.00
Space group R-3m (No. 166, hexagonal axes)
Inequivalent atoms, fractional coordinates:
1 H 0.0000 0.0000 0.1080
2 Ir 0.0000 0.0000 0.0000
3 Se 0.0000 0.0000 0.3971

Fermi-level density of states: 0.25 states/eV/atom
E_tot: -65.7 eV for the cell shown


Entry 6:
Here is a relaxed structure of HIrSe from Alexandria. Energies are from PBE.

a b c (Å): 5.471 5.927 5.632
angles (deg): 90.00 117.09 90.00
Space group C2/c (No. 15)
Inequivalent atoms, fractional coordinates:
1 H 0.000 0.082 0.250
2 Ir 0.250 0.250 0.500
3 Se 0.000 0.406 0.750

Fermi-level density of states: 0.13 states/eV/atom
E_tot: -63.3 eV for the cell shown


Entry 7:
Here is a relaxed structure of HIrSe from Alexandria. Energies are from PBE.

a b c (Å): 4.091 3.522 6.903
angles (deg): 90.00 97.43 90.00
Space group Pm (No. 6)
Inequivalent atoms, fractional coordinates:
1 H 0.000 0.000 0.000
2 H 0.382 0.500 0.467
3 Ir 0.170 0.000 0.802
4 Ir 0.640 0.500 0.665
5 Se 0.484 0.500 0.989
6 Se 0.873 0.000 0.478

Fermi-level density of states: 0.00 states/eV/atom
E_tot: -31.7 eV for the cell shown


Entry 8:
Here is a relaxed structure of HIrSe from Alexandria. Energies are from PBE.

a b c (Å): 3.520 4.092 6.834
angles (deg): 91.52 90.35 90.00
Space group P1 (No. 1)
Inequivalent atoms, fractional coordinates:
1 H 0.000 0.000 0.000
2 H 0.494 0.476 0.468
3 Ir 0.496 0.699 0.665
4 Ir 0.998 0.205 0.802
5 Se 0.500 0.486 0.990
6 Se 0.994 0.964 0.478

Fermi-level density of states: 0.02 states/eV/atom
E_tot: -31.7 eV for the cell shown


| no. | V (Å³/atom) | spin magnetization (μB/f.u.) | mass density (Mg/m³) |
| --- | --- | --- | --- |
| 1 | 14.81 | 0.00 | 7.816 |
| 2 | 14.31 | 0.00 | 10.527 |
| 3 | 14.08 | 0.00 | 10.702 |
| 4 | 11.16 | 0.00 | 10.158 |
| 5 | 15.48 | 0.00 | 7.557 |
| 6 | 13.55 | 0.00 | 11.119 |
| 7 | 16.44 | 0.00 | 9.164 |
| 8 | 16.40 | 0.00 | 9.186 |